# 1
Li2Ni6BC | GGA-PBE | relaxed

Computed properties:
- E_form: -96 kJ/mol of formula units
- Space-group type: Fm-3m
- Fermi-level density of states: 6.79 states/eV/cell

Lattice parameters (Å, degrees): 5.3406 5.3406 5.3406 60.00 60.00 60.00
Closest atoms and distances in Å follow each position.
Fractional coordinates of all 10 atoms:
Li 0.2500 0.2500 0.2500  12 Ni 2.67
Li 0.7500 0.7500 0.7500  12 Ni 2.67
Ni 0.2469 0.2469 0.7531  1 C 1.86, 1 B 1.91
Ni 0.2469 0.7531 0.2469  1 C 1.86, 1 B 1.91
Ni 0.2469 0.7531 0.7531  1 C 1.86, 1 B 1.91
Ni 0.7531 0.2469 0.2469  1 C 1.86, 1 B 1.91
Ni 0.7531 0.2469 0.7531  1 C 1.86, 1 B 1.91
Ni 0.7531 0.7531 0.2469  1 C 1.86, 1 B 1.91
B 0.5000 0.5000 0.5000  6 Ni 1.91
C 0.0000 0.0000 0.0000  6 Ni 1.86

# 2
LiBCO2 | GGA-PBE | relaxed

Computed properties:
- Space-group type: P4/mmm
- Formation energy (no corrections): 0.072 eV/atom
- Fermi-level density of states: 1.31 states/eV/cell

Lattice parameters (Å, degrees): 3.6545 3.6545 3.0212 90.00 90.00 90.00
Closest atoms and distances in Å follow each position.
Fractional coordinates of all 5 atoms:
Li 0.0000 0.0000 0.0000  8 O 2.37, 4 C 2.58
B 0.5000 0.5000 0.5000  2 C 1.51
C 0.5000 0.5000 0.0000  2 B 1.51
O 0.0000 0.5000 0.5000  2 B 1.83
O 0.5000 0.0000 0.5000  2 B 1.83

# 3
Li2BPCO7 | GGA-PBE | relaxed

Computed properties:
- Space-group type: P2_1/m
- Formation energy (no corrections): -2.031 eV/atom
- Fermi-level density of states: 0.00 states/eV/cell

Lattice parameters (Å, degrees): 5.1844 5.0076 10.0800 90.00 102.54 90.00
Closest atoms and distances in Å follow each position.
Fractional coordinates of all 24 atoms:
Li 0.1407 0.0014 0.3348  4 O 1.92-2.08
Li 0.1407 0.4986 0.3348  4 O 1.92-2.08
Li 0.8593 0.5014 0.6652  4 O 1.92-2.08
Li 0.8593 0.9986 0.6652  4 O 1.92-2.08
B 0.3657 0.7500 0.8497  4 O 1.46-1.53
B 0.6343 0.2500 0.1503  4 O 1.46-1.53
P 0.3099 0.7500 0.1044  4 O 1.51-1.57
P 0.6901 0.2500 0.8956  4 O 1.51-1.57
C 0.3110 0.7500 0.5969  3 O 1.26-1.39
C 0.6890 0.2500 0.4031  3 O 1.26-1.39
O 0.1006 0.7500 0.1876  1 P 1.51
O 0.1490 0.7500 0.4830  1 C 1.27
O 0.1890 0.7500 0.7066  1 C 1.39, 1 B 1.53
O 0.1925 0.7500 0.9472  1 B 1.47, 1 P 1.57
O 0.4403 0.2500 0.3837  1 C 1.26
O 0.4808 0.0034 0.1394  1 B 1.46, 1 P 1.54
O 0.4808 0.4966 0.1394  1 B 1.46, 1 P 1.54
O 0.5192 0.5034 0.8606  1 B 1.46, 1 P 1.54
O 0.5192 0.9966 0.8606  1 B 1.46, 1 P 1.54
O 0.5597 0.7500 0.6163  1 C 1.26
O 0.8075 0.2500 0.0528  1 B 1.47, 1 P 1.57
O 0.8110 0.2500 0.2934  1 C 1.39, 1 B 1.53
O 0.8510 0.2500 0.5170  1 C 1.27
O 0.8994 0.2500 0.8124  1 P 1.51

# 4
LiB2PC | GGA-PBE | relaxed

Computed properties:
- E_form: 939 kJ/mol of formula units
- Space-group type: P4/mmm
- Fermi-level density of states: 2.98 states/eV/cell

Lattice parameters (Å, degrees): 3.7473 3.7473 4.6251 90.00 90.00 90.00
Closest atoms and distances in Å follow each position.
Fractional coordinates of all 5 atoms:
Li 0.0000 0.0000 0.0000  2 P 2.31
B 0.0000 0.5000 0.5000  2 P 1.87
B 0.5000 0.0000 0.5000  2 P 1.87
P 0.0000 0.0000 0.5000  4 B 1.87
C 0.5000 0.5000 0.0000  4 Li 2.65